[1]
Tb2TmZn12Cu3 | PBE-GGA | optimized geometry

Lattice parameters (Å, degrees): 9.9502 9.9502 9.9502 38.00 38.00 38.00
Sites, in units of the cell vectors:
Zn 0.6792 0.2812 0.6792
Zn 0.1263 0.1263 0.5342
Zn 0.5342 0.1263 0.1263
Zn 0.6792 0.6792 0.2812
Zn 0.8737 0.8737 0.4658
Zn 0.3208 0.7188 0.3208
Zn 0.1263 0.5342 0.1263
Zn 0.3208 0.3208 0.7188
Zn 0.7188 0.3208 0.3208
Zn 0.8737 0.4658 0.8737
Zn 0.4658 0.8737 0.8737
Zn 0.2812 0.6792 0.6792
Tb 0.3571 0.3571 0.3571
Tb 0.6429 0.6429 0.6429
Tm 0.0000 0.0000 0.0000
Cu 0.5000 0.0000 0.0000
Cu 0.0000 0.5000 0.0000
Cu 0.0000 0.0000 0.5000

Fermi-level density of states = 8.72 states/eV/cell
calculated formation energy = -15 meV/atom

[2]
Tb2UCu | PBE-GGA | optimized geometry

Lattice parameters (Å, degrees): 3.1748 3.1748 11.2529 81.89 81.89 60.00
Site moments in Bohr magnetons follow the coordinates.
Sites, in units of the cell vectors:
Tb 0.0975 0.0975 0.7075  -0.05
Tb 0.9025 0.9025 0.2925  -0.05
Cu 0.5000 0.5000 0.5000  0.00
U 0.0000 0.0000 0.0000  1.97

Fermi-level density of states = 5.78 states/eV/cell
calculated formation energy = 467 meV/atom

[3]
TbVCu4 | PBE-GGA | optimized geometry

Lattice parameters (Å, degrees): 5.0671 5.0671 5.0671 60.00 60.00 60.00
Site moments in Bohr magnetons follow the coordinates.
Sites, in units of the cell vectors:
Cu 0.1282 0.6239 0.6239  0.08
Cu 0.6239 0.1282 0.6239  0.08
Cu 0.6239 0.6239 0.6239  0.08
Cu 0.6239 0.6239 0.1282  0.08
Tb 0.0000 0.0000 0.0000  0.33
V 0.2500 0.2500 0.2500  2.61

Fermi-level density of states = 8.43 states/eV/cell
calculated formation energy = 25 meV/atom

[4]
Tb2VCu | PBE-GGA | optimized geometry

Lattice parameters (Å, degrees): 3.2357 3.2357 10.4625 81.10 81.10 60.00
Site moments in Bohr magnetons follow the coordinates.
Sites, in units of the cell vectors:
Tb 0.0926 0.0926 0.7221  0.06
Tb 0.9074 0.9074 0.2779  0.06
Cu 0.5000 0.5000 0.5000  0.01
V 0.0000 0.0000 0.0000  2.48

Fermi-level density of states = 5.64 states/eV/cell
calculated formation energy = 654 meV/atom